# 1
VASP calculation (PBE) on a relaxed Pm8TmCd2 crystal.

The value obtained for the energy of formation from the pure elements is -0.0719 eV per atom. The excess energy over the best structure of this formula in the dataset is 0 meV/atom. The space-group type is C2/m (12). The magnetization comes out at 0.00 μB/f.u.

Unit cell a=5.3814 b=8.4865 c=8.8841 alpha=113.62 beta=107.63 gamma=90.00
Fractional positions:
1 Tm 0.5000 0.0000 0.0000
2 Pm 0.3981 0.5331 0.7961
3 Pm 0.0545 0.7384 0.1090
4 Pm 0.3127 0.0456 0.6253
5 Pm 0.1471 0.2045 0.2943
6 Pm 0.6019 0.4669 0.2039
7 Pm 0.8529 0.7955 0.7057
8 Pm 0.6873 0.9544 0.3747
9 Pm 0.9455 0.2616 0.8910
10 Cd 0.2228 0.6309 0.4456
11 Cd 0.7772 0.3691 0.5544



# 2
VASP calculation (PBE) on a relaxed FeCu2Ni8 crystal.

The value obtained for the energy of formation from the pure elements is 0.2345 eV per atom. The excess energy over the best structure of this formula in the dataset is 245 meV/atom. The space-group type is C2/m (12). The magnetization comes out at 7.22 μB/f.u.

Unit cell a=4.2170 b=6.3471 c=6.5206 alpha=60.88 beta=75.19 gamma=58.32
Fractional positions:
1 Ni 0.1582 0.9002 0.7740
2 Ni 0.5000 0.7932 0.4136
3 Ni 0.1582 0.6743 0.2260
4 Ni 0.6970 0.5787 0.0000
5 Ni 0.8418 0.0998 0.2260
6 Ni 0.8418 0.3257 0.7740
7 Ni 0.3030 0.4213 0.0000
8 Ni 0.5000 0.2068 0.5864
9 Cu 0.0000 0.6921 0.6158
10 Cu 0.0000 0.3079 0.3842
11 Fe 0.5000 0.0000 0.0000



- What is the formula in the second record?
  FeCu2Ni8